## Ba2PdCl (PBE-GGA)

Data for an optimized crystal structure of Ba2PdCl.

Output
Energy relative to the lowest polymorph listed for this composition   0 meV/atom
Energy   -3.94 eV per atom
Formation energy without anion corrections   -117.3 kJ per mole of atoms
Volume   145 Å³/f.u.

Cell lengths 7.873, 4.544, 8.543 Å; angles 90.00, 107.95, 90.00 degrees
Space group C2/m (No. 12)
Unique sites:
Ba 0.242 0.000 0.225
Pd 0.000 0.500 0.000
Cl 0.000 0.000 0.500

***

## Ba2PdCl (PBE-GGA)

Data for an optimized crystal structure of Ba2PdCl.

Output
Energy relative to the lowest polymorph listed for this composition   25 meV/atom
Energy   -3.91 eV per atom
Formation energy without anion corrections   -114.9 kJ per mole of atoms
Volume   146 Å³/f.u.

Cell lengths 4.4952, 4.4952, 25.0096 Å; angles 90.00, 90.00, 120.00 degrees
Space group R3m (No. 160, hexagonal axes)
Unique sites:
Ba 0.0000 0.0000 0.0000
Ba 0.0000 0.0000 0.1856
Pd 0.0000 0.0000 0.5930
Cl 0.0000 0.0000 0.4244

***

## Ba2PdCl (PBE-GGA)

Data for an optimized crystal structure of Ba2PdCl.

Output
Energy relative to the lowest polymorph listed for this composition   104 meV/atom
Energy   -3.83 eV per atom
Formation energy without anion corrections   -107.3 kJ per mole of atoms
Volume   127 Å³/f.u.

Cell lengths 3.883, 3.883, 8.399 Å; angles 90.00, 90.00, 90.00 degrees
Space group P4/mmm (No. 123)
Unique sites:
Ba 0.000 0.000 0.228
Pd 0.500 0.500 0.000
Cl 0.500 0.500 0.500

***

## BaPd2Cl8 (PBE-GGA)

Data for an optimized crystal structure of BaPd2Cl8.

Output
Energy relative to the lowest polymorph listed for this composition   0 meV/atom
Energy   -3.34 eV per atom
Formation energy without anion corrections   -84.8 kJ per mole of atoms
Volume   313 Å³/f.u.

Cell lengths 5.340, 7.786, 7.839 Å; angles 73.73, 88.57, 89.02 degrees
Space group P-1 (No. 2)
Unique sites:
Ba 0.000 0.000 0.000
Pd 0.257 0.396 0.396
Cl 0.238 0.585 0.586
Cl 0.270 0.138 0.636
Cl 0.276 0.639 0.141
Cl 0.296 0.211 0.210

***

## BaPdCl6 (PBE-GGA)

Data for an optimized crystal structure of BaPdCl6.

Output
Energy relative to the lowest polymorph listed for this composition   0 meV/atom
Energy   -3.42 eV per atom
Formation energy without anion corrections   -110.1 kJ per mole of atoms
Volume   222 Å³/f.u.

Cell lengths 7.776, 9.798, 6.275 Å; angles 90.00, 112.00, 90.00 degrees
Space group C2/m (No. 12)
Unique sites:
Ba 0.000 0.000 0.000
Pd 0.000 0.500 0.500
Cl 0.119 0.332 0.787
Cl 0.213 0.000 0.547

***

## Ba8Pd2Cl (PBE-GGA)

Data for an optimized crystal structure of Ba8Pd2Cl.

Output
Energy   -2.91 eV per atom
Formation energy without anion corrections   -38.4 kJ per mole of atoms
Volume   594 Å³/f.u.

Cell lengths 15.658, 11.888, 6.387 Å; angles 90.00, 90.60, 90.00 degrees
Space group C2/m (No. 12)
Unique sites:
Ba 0.099 0.000 0.255
Ba 0.115 0.276 0.762
Ba 0.179 0.500 0.243
Pd 0.210 0.500 0.738
Cl 0.000 0.500 0.000

***

Number 1: theoretical density 4.76 g cm⁻³. Number 2: theoretical density 4.74 g cm⁻³. Number 3: theoretical density 5.46 g cm⁻³. Number 4: theoretical density 3.37 g cm⁻³. Number 5: theoretical density 3.42 g cm⁻³. Number 6: theoretical density 3.76 g cm⁻³.